Dy2MgPt9 | GGA-PBE | optimized geometry

Results
Size of the total moment: 0.000 μB per atom
Energy of formation: -10.5 eV per formula unit
Crystal system: tetragonal

abc: 4.078 4.078 12.146
angles: 90.00 90.00 90.00
Space group P4/mmm (No. 123)
Unique sites:
Dy 0.000 0.000 0.172 x2
Mg 0.000 0.000 0.500 x1
Pt 0.000 0.500 0.000 x2
Pt 0.000 0.500 0.343 x4
Pt 0.500 0.500 0.171 x2
Pt 0.500 0.500 0.500 x1

=====

Ce4ThO10 | GGA-PBE | optimized geometry

Results
Size of the total moment: 0.000 μB per atom
Crystal system: tetragonal
Energy relative to the elements, uncorrected: -3545 meV/atom

abc: 3.887 3.887 27.473
angles: 90.00 90.00 90.00
Space group I4/mmm (No. 139)
Unique sites:
Ce 0.000 0.000 0.102 x4
Ce 0.000 0.000 0.299 x4
Th 0.000 0.000 0.500 x2
O 0.000 0.500 0.051 x8
O 0.000 0.500 0.151 x8
O 0.000 0.500 0.250 x4

=====

SiRh2Se | GGA-PBE | optimized geometry

Results
Size of the total moment: 0.000 μB per atom
Crystal system: trigonal
Energy above the lowest structure with this stoichiometry: 382 meV/atom
Energy relative to the elements, uncorrected: -95 meV/atom

abc: 3.1387 3.1387 22.5183
angles: 90.00 90.00 120.00
Space group R3m (No. 160, hexagonal axes)
Unique sites:
Si 0.0000 0.0000 0.0000 x3
Rh 0.0000 0.0000 0.5016 x3
Rh 0.0000 0.0000 0.7325 x3
Se 0.0000 0.0000 0.2397 x3